Entry 1:
# NaHf PBE relaxed
# - Energy of formation from the pure elements: 0.7021 eV/atom
# - Space group: P2_12_12_1 (19)
# - Theoretical density: 6.70 g/cm³
# - Energy relative to the lowest polymorph listed for this composition: 0.285 eV/atom
data_NaHf
_chemical_formula_sum 'Na8 Hf8'
_cell_length_a 6.3397
_cell_length_b 9.8145
_cell_length_c 6.4197
_cell_angle_alpha 90.00
_cell_angle_beta 90.00
_cell_angle_gamma 90.00
_space_group_name_H-M_alt 'P 1'
_space_group_IT_number 1
loop_
_space_group_symop_operation_xyz
'x,y,z'
loop_
_atom_site_label
_atom_site_fract_x
_atom_site_fract_y
_atom_site_fract_z
_atom_site_occupancy
Na1 0.8041 0.0121 0.1819 1
Na2 0.9758 0.7766 0.4319 1
Na3 0.1959 0.5121 0.3181 1
Na4 0.5242 0.2234 0.9319 1
Na5 0.3041 0.4879 0.8181 1
Na6 0.0242 0.2766 0.0681 1
Na7 0.6959 0.9879 0.6819 1
Na8 0.4758 0.7234 0.5681 1
Hf1 0.3056 0.0316 0.3219 1
Hf2 0.1944 0.9684 0.8218 1
Hf3 0.0602 0.2160 0.5654 1
Hf4 0.9398 0.7160 0.9346 1
Hf5 0.6944 0.5316 0.1782 1
Hf6 0.8056 0.4684 0.6782 1
Hf7 0.5602 0.2840 0.4346 1
Hf8 0.4398 0.7840 0.0654 1

---

Entry 2:
# TlZnFeCl2 PBE relaxed
# - Space group: P4/mmm (123)
# - Theoretical density: 3.89 g/cm³
# - Energy relative to the lowest polymorph listed for this composition: 0.630 eV/atom
# - Raw formation energy: 0.48 eV per atom
data_TlZnFeCl2
_chemical_formula_sum 'Tl1 Zn1 Fe1 Cl2'
_cell_length_a 5.5678
_cell_length_b 5.4671
_cell_length_c 5.5678
_cell_angle_alpha 90.00
_cell_angle_beta 90.00
_cell_angle_gamma 90.00
_space_group_name_H-M_alt 'P 1'
_space_group_IT_number 1
loop_
_space_group_symop_operation_xyz
'x,y,z'
loop_
_atom_site_label
_atom_site_fract_x
_atom_site_fract_y
_atom_site_fract_z
_atom_site_occupancy
Fe1 0.0000 0.5000 0.0000 1
Tl1 0.0000 0.0000 0.0000 1
Cl1 0.5000 0.0000 0.0000 1
Cl2 0.0000 0.0000 0.5000 1
Zn1 0.5000 0.5000 0.5000 1